{"formula": "AsPtCl", "functional": "GGA-PBE", "state": "relaxed", "magmom_total_mub_per_cell": 0.00, "formation_energy_uncorrected_mev_per_atom": 398, "sg": "F-43m, No. 216", "lattice": [[4.466, 0.000, 0.000], [2.233, 3.868, 0.000], [2.233, 1.289, 3.646]], "species": ["As", "Pt", "Cl"], "frac_coords": [[0.250, 0.250, 0.250], [0.500, 0.500, 0.500], [0.000, 0.000, 0.000]]}